# 1
! K2BP2O8, relaxed, DFT PBEsol; values from VASP
! Formation energy from raw total energies, eV/atom: -2.185
! SG: I-42d
&SYSTEM
  ibrav = 0, nat = 26, ntyp = 4
/
ATOMIC_SPECIES
K 39.10 K.upf
B 10.81 B.upf
P 30.97 P.upf
O 16.00 O.upf
CELL_PARAMETERS angstrom
-3.616 3.616 7.328
3.616 -3.616 7.328
3.616 3.616 -7.328
ATOMIC_POSITIONS angstrom
K 5.424 0.941 -1.832
K 0.941 1.808 1.832
K -1.808 2.675 5.496
K 2.675 1.808 9.160
B 3.616 0.000 3.664
B 0.000 0.000 7.328
P 1.808 2.625 -1.832
P 4.607 1.808 1.832
P 1.808 0.991 5.496
P -0.991 1.808 9.160
O 3.660 -1.217 2.859
O 2.869 1.749 -2.481
O 0.747 1.749 -1.183
O 5.483 0.747 1.183
O 2.399 -0.044 4.469
O 4.833 0.044 4.469
O 3.572 1.217 2.859
O 3.572 2.399 0.805
O 1.217 -0.044 6.523
O 2.399 3.660 -0.805
O 1.867 -0.747 9.809
O 0.747 1.867 4.847
O 2.869 1.867 6.145
O 0.044 1.217 8.133
O 1.749 4.364 2.481
O -1.867 2.869 8.511

# 2
! ZnTc3Bi, relaxed, DFT PBEsol; values from VASP
! Energy of formation, eV/atom: 1.549
! SG: Pm-3m
&SYSTEM
  ibrav = 0, nat = 5, ntyp = 3
/
ATOMIC_SPECIES
Zn 65.41 Zn.upf
Tc 98.00 Tc.upf
Bi 208.98 Bi.upf
CELL_PARAMETERS angstrom
4.521 0.000 0.000
0.000 4.521 0.000
0.000 0.000 4.521
ATOMIC_POSITIONS angstrom
Zn 0.000 0.000 0.000
Tc 0.000 0.000 2.261
Tc 0.000 2.261 0.000
Tc 2.261 0.000 0.000
Bi 2.261 2.261 2.261

# 3
! RbGe2Pt2, relaxed, DFT PBEsol; values from VASP
! Energy of formation, eV/atom: -0.417
! SG: I4/mmm
&SYSTEM
  ibrav = 0, nat = 5, ntyp = 3
/
ATOMIC_SPECIES
Rb 85.47 Rb.upf
Ge 72.64 Ge.upf
Pt 195.08 Pt.upf
CELL_PARAMETERS angstrom
-1.994 1.994 7.144
1.994 -1.994 7.144
1.994 1.994 -7.144
ATOMIC_POSITIONS angstrom
Rb 0.000 0.000 0.000
Ge 0.000 0.000 5.078
Ge 0.000 0.000 9.210
Pt 1.994 0.000 3.572
Pt 0.000 1.994 3.572

# 4
! CdHg2Pb, relaxed, DFT PBEsol; values from VASP
! Energy of formation, eV/atom: 0.032
! SG: Imm2
&SYSTEM
  ibrav = 0, nat = 4, ntyp = 3
/
ATOMIC_SPECIES
Cd 112.41 Cd.upf
Hg 200.59 Hg.upf
Pb 207.20 Pb.upf
CELL_PARAMETERS angstrom
-1.735 2.705 5.197
1.735 -2.705 5.197
1.735 2.705 -5.197
ATOMIC_POSITIONS angstrom
Cd 0.000 0.000 0.000
Hg 0.000 0.000 5.428
Hg 0.000 2.705 2.769
Pb 1.735 0.000 2.683

# 5
! CaRhSe2, relaxed, DFT PBEsol; values from VASP
! Formation energy from raw total energies, eV/atom: -0.935
! Energy above the most stable polymorph in this dataset, eV/f.u.: 0.00
! SG: R-3m
&SYSTEM
  ibrav = 0, nat = 4, ntyp = 3
/
ATOMIC_SPECIES
Ca 40.08 Ca.upf
Rh 102.91 Rh.upf
Se 78.96 Se.upf
CELL_PARAMETERS angstrom
1.991 1.150 5.828
-1.991 1.150 5.828
0.000 -2.299 5.828
ATOMIC_POSITIONS angstrom
Ca 0.000 0.000 0.000
Rh 0.000 0.000 8.742
Se 0.000 0.000 4.060
Se 0.000 0.000 13.424

# 6
! YAg2, relaxed, DFT PBEsol; values from VASP
! Energy of formation, eV/atom: -0.277
! SG: P6/mmm
&SYSTEM
  ibrav = 0, nat = 3, ntyp = 2
/
ATOMIC_SPECIES
Y 88.91 Y.upf
Ag 107.87 Ag.upf
CELL_PARAMETERS angstrom
4.672 0.000 0.000
-2.336 4.046 0.000
0.000 0.000 3.331
ATOMIC_POSITIONS angstrom
Y 0.000 0.000 0.000
Ag 0.000 2.697 1.666
Ag 2.336 1.349 1.666

# 7
! ZnNi2, relaxed, DFT PBEsol; values from VASP
! Energy of formation, eV/atom: -0.157
! SG: I4/mmm
&SYSTEM
  ibrav = 0, nat = 3, ntyp = 2
/
ATOMIC_SPECIES
Zn 65.41 Zn.upf
Ni 58.69 Ni.upf
CELL_PARAMETERS angstrom
-1.276 1.276 5.092
1.276 -1.276 5.092
1.276 1.276 -5.092
ATOMIC_POSITIONS angstrom
Zn 0.000 0.000 0.000
Ni 0.000 0.000 3.363
Ni 0.000 0.000 6.822

# 8
! Ge5Te4Se, relaxed, DFT PBEsol; values from VASP
! Formation energy from raw total energies, eV/atom: -0.102
! SG: I4/mmm
&SYSTEM
  ibrav = 0, nat = 10, ntyp = 3
/
ATOMIC_SPECIES
Ge 72.64 Ge.upf
Te 127.60 Te.upf
Se 78.96 Se.upf
CELL_PARAMETERS angstrom
-2.066 2.066 14.571
2.066 -2.066 14.571
2.066 2.066 -14.571
ATOMIC_POSITIONS angstrom
Ge 0.000 0.000 0.000
Ge 0.000 0.000 5.859
Ge 0.000 0.000 11.787
Ge 0.000 0.000 17.354
Ge 0.000 0.000 23.283
Te 0.000 0.000 2.903
Te 0.000 0.000 8.783
Te 0.000 0.000 20.359
Te 0.000 0.000 26.238
Se 0.000 0.000 14.571

# 9
! Li2TlGa, relaxed, DFT PBEsol; values from VASP
! Energy of formation, eV/atom: -0.031
! Energy above the most stable polymorph in this dataset, eV/f.u.: 0.87
! SG: I-42d
&SYSTEM
  ibrav = 0, nat = 8, ntyp = 3
/
ATOMIC_SPECIES
Li 6.94 Li.upf
Tl 204.38 Tl.upf
Ga 69.72 Ga.upf
CELL_PARAMETERS angstrom
-2.052 2.052 9.727
2.052 -2.052 9.727
2.052 2.052 -9.727
ATOMIC_POSITIONS angstrom
Li 3.079 0.966 -2.432
Li 0.966 1.026 2.432
Li -1.026 1.087 7.296
Li 1.087 1.026 12.159
Tl 2.052 0.000 4.864
Tl 0.000 0.000 9.727
Ga 0.000 0.000 0.000
Ga 0.000 2.052 4.864

# 10
! YGa2Ag2, relaxed, DFT PBEsol; values from VASP
! Energy of formation, eV/atom: -0.412
! SG: I4/mmm
&SYSTEM
  ibrav = 0, nat = 5, ntyp = 3
/
ATOMIC_SPECIES
Y 88.91 Y.upf
Ga 69.72 Ga.upf
Ag 107.87 Ag.upf
CELL_PARAMETERS angstrom
-2.115 2.115 5.297
2.115 -2.115 5.297
2.115 2.115 -5.297
ATOMIC_POSITIONS angstrom
Y 0.000 0.000 0.000
Ga 0.000 0.000 4.109
Ga 0.000 0.000 6.485
Ag 2.115 0.000 2.648
Ag 0.000 2.115 2.648

Taking the records one at a time from the top gives density of states at the Fermi level values of 11.9 4.2 1.6 1.8 3.2 2.5 3.4 0.2 4.7 2.7 states/eV per cell.
Taking the records one at a time from the top gives magnetic moment values of 1.005 2.999 0.000 0.000 0.000 0.000 0.001 0.000 0.000 0.000 μB per formula unit.
Taking the records one at a time from the top gives calculated volume values of 383.3 92.4 113.6 97.6 80.0 63.0 33.2 248.8 163.9 94.8 Å³ per cell.